Record 1
A plane-wave DFT calculation with GGA-PBE was carried out for a geometry-optimized Co2TcBr structure.

The structure in POSCAR format:
```
Co2TcBr
1.0
4.622 -0.085 0.000
-1.683 4.305 0.000
0.000 0.000 2.831
Br Co Tc
1 2 1
Direct
0.000 0.500 0.500
0.000 0.000 0.000
0.500 0.500 0.000
0.500 0.000 0.500
```

- formation energy from raw total energies (meV/atom) = 881
- spin magnetization (μB/f.u.) = 3.018
- DFT total energy (eV per formula unit) = -22.73
- calculated density (g/cm3) = 8.8
- V (Å³ per atom) = 14.0
- density of states at the Fermi level (states/eV per atom) = 1.89
- energy relative to the lowest polymorph listed for this composition (meV per atom) = 368

=====

Record 2
A plane-wave DFT calculation with GGA-PBE was carried out for a geometry-optimized Ba3Zn8Au structure.

The structure in POSCAR format:
```
Ba3Zn8Au
1.0
6.159 0.000 0.000
-3.080 5.334 0.000
0.000 0.000 8.931
Zn Ba Au
8 3 1
Direct
0.182 0.365 0.262
0.044 0.522 0.760
0.478 0.956 0.760
0.333 0.667 0.020
0.182 0.818 0.262
0.333 0.667 0.511
0.478 0.522 0.760
0.635 0.818 0.262
0.000 0.000 0.904
0.667 0.333 0.058
0.667 0.333 0.473
0.000 0.000 0.468
```

- spin magnetization (μB/f.u.) = 0.000
- energy of formation (eV/f.u.) = -1.59
- DFT total energy (eV per formula unit) = -20.83
- calculated density (g/cm3) = 6.4
- V (Å³ per atom) = 24.5
- density of states at the Fermi level (states/eV per atom) = 0.52

=====

Record 3
A plane-wave DFT calculation with GGA-PBE was carried out for a geometry-optimized Pm2ErTm3Te6 structure.

The structure in POSCAR format:
```
Pm2ErTm3Te6
1.0
-1.617 -3.760 -1.363
7.217 -4.147 2.875
-5.189 1.754 8.145
Te Tm Pm Er
6 3 2 1
Direct
0.996 0.249 0.992
0.339 0.408 0.677
0.664 0.074 0.328
0.661 0.592 0.323
0.336 0.926 0.672
0.004 0.751 0.008
0.500 0.500 0.000
0.827 0.163 0.655
0.173 0.837 0.345
0.829 0.661 0.658
0.171 0.339 0.342
0.500 0.000 0.000
```

- formation energy from raw total energies (meV/atom) = -1260
- spin magnetization (μB/f.u.) = 0.000
- DFT total energy (eV per formula unit) = -61.45
- calculated density (g/cm3) = 8.2
- V (Å³ per atom) = 29.3
- density of states at the Fermi level (states/eV per atom) = 0.53

=====

Record 4
A plane-wave DFT calculation with GGA-PBE was carried out for a geometry-optimized MnSiPt structure.

The structure in POSCAR format:
```
MnSiPt
1.0
-2.984 3.355 3.172
-4.659 2.882 -0.421
2.789 -4.683 -0.688
Mn Pt Si
1 1 1
Direct
0.982 0.983 0.999
0.682 0.681 0.001
0.337 0.337 0.000
```

- formation energy from raw total energies (meV/atom) = -330
- spin magnetization (μB/f.u.) = 3.073
- DFT total energy (eV per formula unit) = -21.62
- calculated density (g/cm3) = 11.3
- V (Å³ per atom) = 13.6
- density of states at the Fermi level (states/eV per atom) = 0.39

=====

Record 5
A plane-wave DFT calculation with GGA-PBE was carried out for a geometry-optimized Th3Cu4Sn2 structure.

The structure in POSCAR format:
```
Th3Cu4Sn2
1.0
4.490 0.000 0.000
-2.245 5.245 -1.797
0.000 -0.581 8.707
Th Cu Sn
3 4 2
Direct
0.648 0.295 0.689
0.000 0.000 0.000
0.352 0.705 0.311
0.918 0.835 0.570
0.726 0.451 0.049
0.082 0.165 0.430
0.274 0.549 0.951
0.637 0.275 0.299
0.363 0.725 0.701
```

- spin magnetization (μB/f.u.) = 0.000
- energy of formation (eV/f.u.) = -3.04
- DFT total energy (eV per formula unit) = -49.69
- calculated density (g/cm3) = 9.8
- V (Å³ per atom) = 22.3
- density of states at the Fermi level (states/eV per atom) = 0.86

=====

Record 6
A plane-wave DFT calculation with GGA-PBE was carried out for a geometry-optimized TbErHg6 structure.

The structure in POSCAR format:
```
TbErHg6
1.0
5.024 0.000 0.000
0.000 6.632 -0.217
0.000 -3.131 5.850
Hg Er Tb
6 1 1
Direct
0.000 0.081 0.415
0.500 0.416 0.084
0.500 0.916 0.584
0.500 0.918 0.082
0.000 0.585 0.919
0.000 0.584 0.416
0.000 0.084 0.916
0.500 0.416 0.584
```

- spin magnetization (μB/f.u.) = 0.000
- energy of formation (eV/f.u.) = -2.70
- DFT total energy (eV per formula unit) = -13.70
- calculated density (g/cm3) = 13.3
- V (Å³ per atom) = 23.9
- density of states at the Fermi level (states/eV per atom) = 0.74
- energy relative to the lowest polymorph listed for this composition (meV per atom) = 0

=====

Record 7
A plane-wave DFT calculation with GGA-PBE was carried out for a geometry-optimized FeTe8Rh2 structure.

The structure in POSCAR format:
```
FeTe8Rh2
1.0
5.521 0.017 0.004
-0.018 6.630 -3.846
-0.004 0.018 7.671
Te Rh Fe
8 2 1
Direct
0.274 0.709 0.945
0.769 0.333 0.666
0.274 0.236 0.291
0.725 0.945 0.236
0.726 0.291 0.055
0.726 0.764 0.709
0.231 0.667 0.334
0.275 0.055 0.764
0.245 0.333 0.666
0.755 0.667 0.334
0.000 0.000 0.000
```

- formation energy from raw total energies (meV/atom) = -62
- spin magnetization (μB/f.u.) = 0.000
- DFT total energy (eV per formula unit) = -48.98
- calculated density (g/cm3) = 7.6
- V (Å³ per atom) = 25.6
- density of states at the Fermi level (states/eV per atom) = 0.63

=====

Record 8
A plane-wave DFT calculation with GGA-PBE was carried out for a geometry-optimized Li2YPb structure.

The structure in POSCAR format:
```
Li2YPb
1.0
-2.816 -0.008 3.426
-0.945 -4.261 -0.786
5.920 -5.045 7.726
Li Pb Y
4 2 2
Direct
0.058 0.625 0.250
0.692 0.125 0.250
0.875 0.942 0.750
0.375 0.308 0.750
0.750 0.250 0.500
0.000 0.000 0.000
0.500 0.500 0.000
0.250 0.750 0.500
```

- spin magnetization (μB/f.u.) = 0.000
- energy of formation (eV/f.u.) = -0.42
- DFT total energy (eV per formula unit) = -14.42
- calculated density (g/cm3) = 5.0
- V (Å³ per atom) = 25.8
- density of states at the Fermi level (states/eV per atom) = 0.41

=====

Record 9
A plane-wave DFT calculation with GGA-PBE was carried out for a geometry-optimized Hg2AuF structure.

The structure in POSCAR format:
```
Hg2AuF
1.0
-3.416 -0.080 -1.556
-3.039 -0.421 2.164
-2.707 7.961 1.004
Au Hg F
1 2 1
Direct
0.500 0.500 0.500
0.909 0.909 0.274
0.091 0.091 0.726
0.000 0.000 0.000
```

- formation energy from raw total energies (meV/atom) = -436
- spin magnetization (μB/f.u.) = 0.000
- DFT total energy (eV per formula unit) = -7.49
- calculated density (g/cm3) = 10.3
- V (Å³ per atom) = 25.0
- density of states at the Fermi level (states/eV per atom) = 0.22
- energy relative to the lowest polymorph listed for this composition (meV per atom) = 64

=====

Record 10
A plane-wave DFT calculation with GGA-PBE was carried out for a geometry-optimized InHPd2 structure.

The structure in POSCAR format:
```
InHPd2
1.0
-1.923 2.091 0.585
-1.613 -1.899 1.485
3.316 1.503 5.522
Pd H In
2 1 1
Direct
0.000 0.000 0.202
0.000 0.000 0.798
0.500 0.500 0.000
0.500 0.500 0.500
```

- spin magnetization (μB/f.u.) = 0.000
- DFT total energy (eV per formula unit) = -16.32
- calculated density (g/cm3) = 9.8
- V (Å³ per atom) = 13.9
- density of states at the Fermi level (states/eV per atom) = 0.39
- energy relative to the lowest polymorph listed for this composition (meV per atom) = 359

=====

Record 11
A plane-wave DFT calculation with GGA-PBE was carried out for a geometry-optimized SmY2Hg structure.

The structure in POSCAR format:
```
SmY2Hg
1.0
4.815 0.000 0.000
0.000 4.866 0.000
0.000 0.000 4.866
Y Sm Hg
2 1 1
Direct
0.000 0.500 0.000
0.000 0.000 0.500
0.500 0.500 0.500
0.500 0.000 0.000
```

- spin magnetization (μB/f.u.) = 0.638
- energy of formation (eV/f.u.) = -0.65
- DFT total energy (eV per formula unit) = -18.60
- calculated density (g/cm3) = 7.7
- V (Å³ per atom) = 28.5
- density of states at the Fermi level (states/eV per atom) = 1.27
- energy relative to the lowest polymorph listed for this composition (meV per atom) = 80

=====

Record 12
A plane-wave DFT calculation with GGA-PBE was carried out for a geometry-optimized HgPH6CBr3 structure.

The structure in POSCAR format:
```
HgPH6CBr3
1.0
8.438 -0.221 -0.013
-0.033 7.762 -0.368
-8.445 -1.078 15.492
H P Br Hg C
24 4 12 4 4
Direct
0.621 0.735 0.988
0.251 0.319 0.008
0.869 0.864 0.501
0.374 0.132 0.464
0.002 0.030 0.332
0.148 0.216 0.289
0.999 0.472 0.853
0.011 0.182 0.831
0.997 0.868 0.690
0.937 0.602 0.553
0.800 0.736 0.671
0.170 0.367 0.793
0.764 0.738 0.171
0.644 0.676 0.487
0.758 0.512 0.134
0.341 0.359 0.473
0.370 0.482 0.984
0.970 0.642 0.192
0.394 0.254 0.963
0.961 0.318 0.341
0.777 0.949 0.636
0.228 0.207 0.505
0.843 0.560 0.002
0.917 0.844 0.057
0.114 0.343 0.856
0.826 0.740 0.543
0.801 0.699 0.045
0.090 0.198 0.351
0.726 0.122 0.144
0.751 0.331 0.655
0.210 0.408 0.664
0.239 0.276 0.166
0.678 0.107 0.388
0.754 0.711 0.837
0.315 0.765 0.132
0.302 0.902 0.623
0.280 0.657 0.368
0.785 0.593 0.343
0.309 0.832 0.885
0.665 0.221 0.875
0.435 0.578 0.274
0.554 0.396 0.730
0.450 0.902 0.788
0.530 0.070 0.220
0.826 0.642 0.145
0.852 0.833 0.645
0.277 0.227 0.459
0.301 0.350 0.963
```

- spin magnetization (μB/f.u.) = 0.000
- DFT total energy (eV per formula unit) = -43.67
- calculated density (g/cm3) = 3.2
- V (Å³ per atom) = 21.0
- density of states at the Fermi level (states/eV per atom) = 0.00